Here is a relaxed structure of HfMnNbV from the Alexandria database. Energies are from GGA-PBE.

Properties
D(E_F): 4.76 states/eV/cell
Space group: F-43m, No. 216
Electronic total energy: -38.2 eV/cell
Energy relative to the elements: 0.021 eV per atom

Structure (extended XYZ):
```
4
Lattice="0.0000 3.1731 3.1731 3.1731 0.0000 3.1731 3.1731 3.1731 0.0000" Properties=species:S:1:pos:R:3 pbc="T T T"
Hf 0.0000 0.0000 0.0000
Mn 1.5865 1.5865 1.5865
Nb 3.1731 3.1731 3.1731
V 4.7596 4.7596 4.7596
```